(1)
## LaPIr (PBE)

Data for an optimized crystal structure of LaPIr.

Results
DOS at the Fermi energy: 3.53 states/eV/cell
Theoretical density: 10.3 g/cm³
Final energy: -6.921 eV per atom
Space group: No. 44
Energy relative to the elements: -12.0 kcal/mol of atoms

a b c (Å): 5.9990 5.9990 5.9990
angles (deg): 149.91 147.21 45.10
Positions (direct):
La  0.0000  0.0000  0.0000
P  0.7091  0.7091  0.0000
Ir  0.2940  0.2940  0.0000


(2)
## La2PIr (PBE)

Data for an optimized crystal structure of La2PIr.

Results
DOS at the Fermi energy: 0.00 states/eV/cell
Theoretical density: 6.0 g/cm³
Final energy: -6.624 eV per atom
Space group: No. 122
Energy relative to the elements: -13.7 kcal/mol of atoms

a b c (Å): 7.9508 7.9508 7.9508
angles (deg): 131.34 131.34 71.28
Positions (direct):
La  0.1116  0.6250  0.9866
La  0.3750  0.3616  0.4866
La  0.6384  0.1250  0.0134
La  0.8750  0.8884  0.5134
P  0.2500  0.7500  0.5000
P  0.5000  0.5000  0.0000
Ir  0.0000  0.0000  0.0000
Ir  0.7500  0.2500  0.5000


(3)
## LaP2Ir2 (PBE)

Data for an optimized crystal structure of LaP2Ir2.

Results
DOS at the Fermi energy: 9.34 states/eV/cell
Theoretical density: 10.4 g/cm³
Final energy: -6.896 eV per atom
Space group: No. 127
Energy relative to the elements: -4.7 kcal/mol of atoms

a b c (Å): 7.6560 7.6560 3.1934
angles (deg): 90.00 90.00 90.00
Positions (direct):
La  0.0000  0.0000  0.0000
La  0.5000  0.5000  0.0000
P  0.2222  0.2778  0.5000
P  0.2778  0.7778  0.5000
P  0.7222  0.2222  0.5000
P  0.7778  0.7222  0.5000
Ir  0.1211  0.6211  0.0000
Ir  0.3789  0.1211  0.0000
Ir  0.6211  0.8789  0.0000
Ir  0.8789  0.3789  0.0000


(4)
## La2PIr (PBE)

Data for an optimized crystal structure of La2PIr.

Results
DOS at the Fermi energy: 1.48 states/eV/cell
Theoretical density: 8.5 g/cm³
Final energy: -7.078 eV per atom
Space group: No. 38
Energy relative to the elements: -24.1 kcal/mol of atoms

a b c (Å): 4.3332 5.8778 5.8778
angles (deg): 40.87 90.00 90.00
Positions (direct):
La  0.0000  0.0000  0.0000
La  0.5000  0.2734  0.2734
P  0.5000  0.5597  0.5597
Ir  0.0000  0.7217  0.7217